The following is a DFT calculation (PBE) of a geometry-optimized Ti3AsS structure.

POSCAR file:
```
Ti3AsS
1.0
-1.421 -3.953 0.970
5.390 -2.262 -1.321
-0.770 2.001 7.028
Ti As S
6 2 2
Direct
0.500 0.707 0.000
0.500 0.293 0.000
0.000 0.822 0.644
0.500 0.500 0.500
0.500 0.000 0.500
0.000 0.178 0.356
0.000 0.374 0.749
0.000 0.626 0.251
0.500 0.887 0.775
0.500 0.113 0.225
```

The formation energy without anion corrections is -0.565 eV/atom. The crystal system is orthorhombic. For the magnetic moment, the calculation gives 0.000 μB/atom. The calculation puts the total energy at -7.057 eV per atom.